(1)
HoFeO3 after structural relaxation. Source: Alexandria via LeMat-Bulk, functional PBE+U.

a = 3.5473 Å, b = 3.5473 Å, c = 11.8073 Å
α = 90.00°, β = 90.00°, γ = 120.00°
Space group P6_3/mmc (No. 194)
One atom of each set of equivalent atoms:
Ho1 0.0000 0.0000 0.0000 x2
Fe1 0.3333 0.6667 0.2500 x2
O1 0.0000 0.0000 0.2500 x2
O2 0.3333 0.6667 0.0847 x4

DFT total energy: -7.553 eV per atom

=====

(2)
Ho3FeO6 after structural relaxation. Source: Alexandria via LeMat-Bulk, functional PBE+U.

a = 8.8557 Å, b = 11.1030 Å, c = 5.4529 Å
α = 90.00°, β = 90.00°, γ = 90.00°
Space group Cmc2_1 (No. 36)
One atom of each set of equivalent atoms:
Ho1 0.0000 0.1018 0.0000 x4
Ho2 0.1933 0.3947 0.0475 x8
Fe1 0.0000 0.3076 0.5764 x4
O1 0.0000 0.2836 0.2309 x4
O2 0.0000 0.4624 0.7342 x4
O3 0.1594 0.2354 0.7595 x8
O4 0.1606 0.0166 0.2740 x8

DFT total energy: -7.988 eV per atom
Fermi-level density of states: 0.000 states/eV/atom

=====

(3)
HoFe2O4 after structural relaxation. Source: Alexandria via LeMat-Bulk, functional PBE+U.

a = 6.8837 Å, b = 9.7725 Å, c = 5.9612 Å
α = 90.00°, β = 125.13°, γ = 90.00°
Space group C2/c (No. 15)
One atom of each set of equivalent atoms:
Ho1 0.0000 0.1203 0.2500 x4
Fe1 0.0000 0.5000 0.0000 x4
Fe2 0.2500 0.2500 0.0000 x4
O1 0.0786 0.2707 0.5760 x8
O2 0.2332 0.0410 0.0454 x8

DFT total energy: -7.267 eV per atom

=====

(4)
HoPaFe2O6 after structural relaxation. Source: Alexandria via LeMat-Bulk, functional PBE+U.

a = 9.9462 Å, b = 6.0256 Å, c = 5.4716 Å
α = 90.00°, β = 122.90°, γ = 90.00°
Space group C2/m (No. 12)
One atom of each set of equivalent atoms:
Ho1 0.0000 0.0000 0.0000 x2
Pa1 0.0000 0.5000 0.5000 x2
Fe1 0.2497 0.0000 0.8010 x4
O1 0.0959 0.2525 0.8391 x8
O2 0.2428 0.5000 0.5523 x4

DFT total energy: -8.127 eV per atom
Fermi-level density of states: 0.000 states/eV/atom

=====

(5)
HoPaFeO6 after structural relaxation. Source: Alexandria via LeMat-Bulk, functional PBE+U.

a = 5.2875 Å, b = 5.2875 Å, c = 4.8121 Å
α = 90.00°, β = 90.00°, γ = 120.00°
Space group P312 (No. 149)
One atom of each set of equivalent atoms:
Ho1 0.0000 0.0000 0.0000 x1
Pa1 0.6667 0.3333 0.5000 x1
Fe1 0.3333 0.6667 0.0000 x1
O1 0.0233 0.3754 0.2326 x6

DFT total energy: -7.988 eV per atom
Fermi-level density of states: 0.496 states/eV/atom

=====

(6)
PmHoFe2O6 after structural relaxation. Source: Alexandria via LeMat-Bulk, functional PBE+U.

a = 5.4008 Å, b = 5.4094 Å, c = 5.4184 Å
α = 60.91°, β = 61.23°, γ = 61.04°
Space group P1 (No. 1)
One atom of each set of equivalent atoms:
Pm1 0.0000 0.0000 0.0000 x1
Ho1 0.5100 0.5161 0.5150 x1
Fe1 0.2426 0.2467 0.2453 x1
Fe2 0.7420 0.7461 0.7450 x1
O1 0.0823 0.4964 0.8959 x1
O2 0.4130 0.9739 0.5786 x1
O3 0.4856 0.8980 0.0859 x1
O4 0.5774 0.4153 0.9720 x1
O5 0.8919 0.0878 0.4912 x1
O6 0.9730 0.5779 0.4167 x1

DFT total energy: -7.372 eV per atom
Fermi-level density of states: 0.000 states/eV/atom

=====

(7)
HoPuFeO6 after structural relaxation. Source: Alexandria via LeMat-Bulk, functional PBE+U.

a = 5.5495 Å, b = 5.5495 Å, c = 8.7775 Å
α = 90.00°, β = 90.00°, γ = 120.00°
Space group P-31c (No. 163)
One atom of each set of equivalent atoms:
Ho1 0.3333 0.6667 0.2500 x2
Pu1 0.3333 0.6667 0.7500 x2
Fe1 0.0000 0.0000 0.0000 x2
O1 0.0258 0.3366 0.6251 x12

DFT total energy: -8.373 eV per atom
Fermi-level density of states: 0.735 states/eV/atom

=====

(8)
HoPuFe2O8 after structural relaxation. Source: Alexandria via LeMat-Bulk, functional PBE+U.

a = 6.8953 Å, b = 6.8953 Å, c = 6.7042 Å
α = 90.00°, β = 90.00°, γ = 90.00°
Space group I-4m2 (No. 119)
One atom of each set of equivalent atoms:
Ho1 0.0000 0.0000 0.0000 x2
Pu1 0.0000 0.5000 0.7500 x2
Fe1 0.0000 0.0000 0.5000 x2
Fe2 0.0000 0.5000 0.2500 x2
O1 0.0000 0.2006 0.6930 x8
O2 0.0000 0.3181 0.0512 x8

DFT total energy: -7.808 eV per atom
Fermi-level density of states: 0.656 states/eV/atom